Record 1
AlCrFeO4: single point on PBEsol structure, SCAN.

Lattice parameters (Å, degrees): 5.743 5.813 5.813 60.77 60.40 60.40
Last column: magnetic moment on the atom in μB.
Fractional coordinates of all 14 atoms:
O 0.242 0.791 0.725  0.06
O 0.242 0.225 0.291  0.06
O 0.213 0.768 0.268  0.06
Cr 0.000 0.000 0.000  2.87
O 0.250 0.232 0.732  0.06
Cr 0.000 0.500 0.500  2.87
O 0.758 0.775 0.709  0.06
Al 0.500 0.000 0.500  0.02
O 0.787 0.232 0.732  0.06
Fe 0.371 0.379 0.879  3.60
Fe 0.629 0.621 0.121  3.60
O 0.758 0.209 0.275  0.06
O 0.750 0.768 0.268  0.06
Al 0.000 0.000 0.500  0.02

Properties
The calculation puts the uncorrected formation energy at -2504.2 meV per atom. Its space-group type is No. 74. The calculation puts the density of states at the Fermi level at 1.76 states/eV/f.u.

Record 2
AlCr3Ga: single point on PBEsol structure, SCAN.

Lattice parameters (Å, degrees): 4.408 4.408 4.408 90.00 90.00 90.00
Last column: magnetic moment on the atom in μB.
Fractional coordinates of all 5 atoms:
Cr 0.000 0.500 0.000  2.86
Ga 0.500 0.500 0.500  -0.20
Al 0.000 0.000 0.000  -0.09
Cr 0.000 0.000 0.500  2.86
Cr 0.500 0.000 0.000  2.86

Properties
Its space-group type is No. 221. The calculation puts the density of states at the Fermi level at 3.59 states/eV/f.u. Its energy relative to the elements is 1111 meV per atom.

Record 3
Al3CrGa: single point on PBEsol structure, SCAN.

Lattice parameters (Å, degrees): 4.759 4.759 4.759 90.00 90.00 90.00
Last column: magnetic moment on the atom in μB.
Fractional coordinates of all 5 atoms:
Al 0.000 0.000 0.500  -0.01
Al 0.500 0.000 0.000  -0.01
Ga 0.000 0.000 0.000  0.02
Al 0.000 0.500 0.000  -0.01
Cr 0.500 0.500 0.500  4.14

Properties
Its space-group type is No. 221. The calculation puts the density of states at the Fermi level at 2.84 states/eV/f.u. Its energy relative to the elements is 775 meV per atom.

Record 4
Al2Cr2Ge: single point on PBEsol structure, SCAN.

Lattice parameters (Å, degrees): 3.929 5.990 5.990 90.00 90.00 90.00
Fractional coordinates of all 10 atoms:
Al 0.500 0.662 0.838
Al 0.500 0.838 0.338
Cr 0.000 0.628 0.128
Cr 0.000 0.872 0.628
Ge 0.000 0.500 0.500
Al 0.500 0.162 0.662
Cr 0.000 0.128 0.372
Cr 0.000 0.372 0.872
Al 0.500 0.338 0.162
Ge 0.000 0.000 0.000

Properties
Its space-group type is No. 127. The calculation puts the density of states at the Fermi level at 1.96 states/eV/f.u. Its energy relative to the elements is -39 meV per atom.

Record 5
AlCrH2: single point on PBEsol structure, SCAN.

Lattice parameters (Å, degrees): 3.945 3.945 5.064 112.92 112.92 90.00
Last column: magnetic moment on the atom in μB.
Fractional coordinates of all 8 atoms:
Al 0.500 0.500 0.000  -0.06
H 0.916 0.375 0.250  -0.02
Cr 0.250 0.750 0.500  2.43
H 0.125 0.084 0.750  -0.02
H 0.334 0.875 0.250  -0.02
Cr 0.000 0.000 0.000  2.43
Al 0.750 0.250 0.500  -0.06
H 0.625 0.666 0.750  -0.02

Properties
Its space-group type is No. 122. The calculation puts the density of states at the Fermi level at 1.21 states/eV/f.u. The total energy is -8.175 eV per atom.

Record 6
Al2Cr2H: single point on PBEsol structure, SCAN.

Lattice parameters (Å, degrees): 4.245 5.220 5.220 90.00 90.00 90.00
Last column: magnetic moment on the atom in μB.
Fractional coordinates of all 10 atoms:
Al 0.500 0.669 0.831  0.04
Cr 0.000 0.853 0.647  -2.16
Al 0.500 0.169 0.669  0.04
Al 0.500 0.831 0.331  0.04
Al 0.500 0.331 0.169  0.04
H 0.000 0.000 0.000  0.04
Cr 0.000 0.353 0.853  -2.16
H 0.000 0.500 0.500  0.04
Cr 0.000 0.147 0.353  -2.16
Cr 0.000 0.647 0.147  -2.16

Properties
Its space-group type is No. 127. The calculation puts the density of states at the Fermi level at 1.71 states/eV/f.u. The total energy is -10.965 eV per atom.

Record 7
Al3CrH: single point on PBEsol structure, SCAN.

Lattice parameters (Å, degrees): 4.728 4.728 4.728 90.00 90.00 90.00
Last column: magnetic moment on the atom in μB.
Fractional coordinates of all 5 atoms:
Al 0.500 0.000 0.000  0.01
Al 0.000 0.500 0.000  0.01
Cr 0.000 0.000 0.000  2.98
H 0.500 0.500 0.500  0.30
Al 0.000 0.000 0.500  0.01

Properties
Its space-group type is No. 221. The calculation puts the density of states at the Fermi level at 2.72 states/eV/f.u. The total energy is -8.020 eV per atom.

Record 8
HfAl2Cr: single point on PBEsol structure, SCAN.

Lattice parameters (Å, degrees): 4.472 4.472 4.472 60.00 60.00 60.00
Last column: magnetic moment on the atom in μB.
Fractional coordinates of all 4 atoms:
Al 0.750 0.750 0.750  -0.01
Cr 0.000 0.000 0.000  3.32
Al 0.250 0.250 0.250  -0.01
Hf 0.500 0.500 0.500  -0.04

Properties
Its space-group type is No. 225. The calculation puts the density of states at the Fermi level at 3.94 states/eV/f.u. Its energy relative to the elements is -155 meV per atom.